--- w ---
Density functional theory data (PBE) for crystalline TeAs2Rh2 at its relaxed geometry.

V ... 19.01 Å³ per atom
Symmetry ... No. 139

Geometry as POSCAR:
```
TeAs2Rh2
1.0
-2.941 -2.053 -1.813
2.422 -3.192 -0.313
-2.134 -4.557 4.167
Rh As Te
2 2 1
Cartesian
-0.711 -3.089 0.197
-1.942 -6.714 1.844
-2.667 -4.617 0.646
0.014 -5.186 1.396
0.000 0.000 0.000
```

***

--- x ---
Density functional theory data (PBE) for crystalline TeAs2Rh2 at its relaxed geometry.

V ... 18.19 Å³ per atom
Symmetry ... No. 127

Geometry as POSCAR:
```
TeAs2Rh2
1.0
7.626 0.000 0.000
0.000 7.626 0.000
0.000 0.000 3.127
As Te Rh
4 2 4
Cartesian
1.043 4.856 1.563
2.770 1.043 1.563
4.856 6.583 1.563
6.583 2.770 1.563
3.813 3.813 0.000
0.000 0.000 0.000
2.807 6.620 0.000
1.006 2.807 0.000
4.819 1.006 0.000
6.620 4.819 0.000
```

***

--- y ---
Density functional theory data (PBE) for crystalline TeAs2Rh2 at its relaxed geometry.

V ... 18.98 Å³ per atom
Symmetry ... No. 139

Geometry as POSCAR:
```
TeAs2Rh2
1.0
4.219 0.000 0.000
0.000 4.219 0.000
2.109 2.109 5.333
Te As Rh
1 2 2
Cartesian
0.000 0.000 0.000
4.219 4.219 4.002
2.109 2.109 1.331
2.109 4.219 2.667
4.219 2.109 2.667
```

***

Which is most stable? The ranking, best first, is x, y, w.

***

--- w ---
Density functional theory data (PBE) for crystalline TlAs2Rh at its relaxed geometry.

V ... 23.11 Å³ per atom
Symmetry ... No. 8

Geometry as POSCAR:
```
TlAs2Rh
1.0
-4.345 1.376 -0.363
-3.430 -0.871 -2.895
-3.413 -4.673 2.914
Rh As Tl
1 2 1
Cartesian
-6.392 -2.796 0.172
-10.668 -3.920 -0.376
-8.617 -2.576 -0.828
-2.290 -1.127 0.172
```

***

--- x ---
Density functional theory data (PBE) for crystalline TlAs2Rh at its relaxed geometry.

V ... 20.50 Å³ per atom
Symmetry ... No. 123

Geometry as POSCAR:
```
TlAs2Rh
1.0
3.172 0.000 0.000
0.000 3.171 0.000
0.000 0.000 8.151
Rh Tl As
1 1 2
Cartesian
1.586 1.586 2.038
1.586 1.586 6.113
0.000 0.000 0.599
0.000 0.000 3.477
```

***

--- y ---
Density functional theory data (PBE) for crystalline TlAs2Rh at its relaxed geometry.

V ... 26.77 Å³ per atom
Symmetry ... No. 122

Geometry as POSCAR:
```
TlAs2Rh
1.0
-3.564 -2.804 -4.099
4.631 -3.700 -1.496
-1.148 -6.980 1.215
Tl As Rh
2 4 2
Cartesian
0.000 0.000 0.000
-2.090 -6.518 -2.841
-0.133 -7.936 -1.293
-0.256 -10.664 -3.879
1.910 -4.606 -1.434
-1.684 -3.762 -2.155
0.533 -3.252 -2.798
2.008 -6.966 -1.539
```

***

Which is most stable? The ranking, best first, is x, w, y.

***

--- w ---
Density functional theory data (PBE) for crystalline TlAs2Rh at its relaxed geometry.

V ... 19.36 Å³ per atom
Symmetry ... No. 123

Geometry as POSCAR:
```
TlAs2Rh
1.0
-1.690 3.595 -0.249
-2.681 -1.070 2.741
2.957 1.634 3.530
Rh As Tl
1 2 1
Cartesian
0.634 2.615 1.641
-2.185 1.262 1.246
0.000 0.000 0.000
0.138 0.282 3.136
```

***

--- x ---
Density functional theory data (PBE) for crystalline TlAs2Rh at its relaxed geometry.

V ... 22.47 Å³ per atom
Symmetry ... No. 10

Geometry as POSCAR:
```
TlAs2Rh
1.0
-2.197 0.124 -3.434
3.812 -1.264 -2.484
0.546 -5.049 -0.531
Tl As Rh
1 2 1
Cartesian
2.169 -4.673 -3.979
0.222 -0.617 -0.164
1.957 -2.540 -1.343
-0.009 -1.516 -2.471
```

***

Which is most stable? The ranking, best first, is x, w.

***

--- w ---
Density functional theory data (PBE) for crystalline TlAs2Rh at its relaxed geometry.

V ... 21.65 Å³ per atom
Symmetry ... No. 44

Geometry as POSCAR:
```
TlAs2Rh
1.0
-4.138 6.693 4.909
-5.146 3.027 7.097
6.427 -4.720 -4.736
As Tl Rh
2 1 1
Cartesian
-0.204 0.214 0.264
-2.518 2.460 5.265
-0.616 2.830 2.364
-4.161 4.356 5.381
```

***

--- x ---
Density functional theory data (PBE) for crystalline TlAs2Rh at its relaxed geometry.

V ... 20.59 Å³ per atom
Symmetry ... No. 99

Geometry as POSCAR:
```
TlAs2Rh
1.0
-1.451 -0.200 3.023
2.944 -0.883 1.355
1.551 7.027 1.209
As Tl Rh
2 1 1
Cartesian
0.096 0.435 0.075
1.194 1.485 2.538
1.881 4.598 3.073
0.649 2.940 0.506
```

***

Which is most stable? The ranking, best first, is w, x.